{
  "formula": "ZnSn2C2",
  "functional": "PBE",
  "state": "optimized geometry",
  "lattice": [[-2.2853, -2.5515, 2.4667], [2.3846, -3.2769, -1.1803], [3.0526, -2.0521, 4.3171]],
  "species": ["C", "C", "Zn", "Sn", "Sn"],
  "fractional_positions": [[0.7500, 0.2500, 0.5000], [0.2500, 0.7500, 0.5000], [0.0000, 0.0000, 0.0000], [0.3476, 0.3476, 0.3048], [0.6524, 0.6524, 0.6952]],
  "m_tot_mub_per_atom": 0.000,
  "crystal_system": "tetragonal",
  "sg": "I4/mmm",
  "formation_energy_ev_per_atom": 1.39
}



{
  "formula": "ZnSnC3",
  "functional": "PBE",
  "state": "optimized geometry",
  "lattice": [[4.0505, 0.0000, 0.0000], [0.0000, 4.0505, 0.0000], [0.0000, 0.0000, 4.0505]],
  "species": ["C", "C", "C", "Zn", "Sn"],
  "fractional_positions": [[0.0000, 0.5000, 0.0000], [0.0000, 0.0000, 0.5000], [0.5000, 0.0000, 0.0000], [0.0000, 0.0000, 0.0000], [0.5000, 0.5000, 0.5000]],
  "m_tot_mub_per_atom": 0.000,
  "crystal_system": "cubic",
  "sg": "Pm-3m",
  "formation_energy_ev_per_atom": 2.65
}



{
  "formula": "ZnSn2C",
  "functional": "PBE",
  "state": "optimized geometry",
  "lattice": [[5.9088, 0.0000, 0.0000], [0.0000, 5.9088, 0.0000], [2.9544, 2.9544, 5.0705]],
  "species": ["C", "C", "Zn", "Zn", "Sn", "Sn", "Sn", "Sn"],
  "fractional_positions": [[0.5000, 0.5000, 0.0000], [0.2500, 0.7500, 0.5000], [0.0000, 0.0000, 0.0000], [0.7500, 0.2500, 0.5000], [0.5615, 0.1250, 0.2500], [0.1885, 0.6250, 0.2500], [0.3750, 0.4385, 0.7500], [0.8750, 0.8115, 0.7500]],
  "m_tot_mub_per_atom": 0.000,
  "crystal_system": "tetragonal",
  "sg": "I-42d",
  "formation_energy_ev_per_atom": 0.68
}



{
  "formula": "ZnSn3C",
  "functional": "PBE",
  "state": "optimized geometry",
  "lattice": [[-2.8539, -1.6377, -3.9791], [-3.1187, -2.5023, 3.2667], [-2.9645, 4.2090, 0.3939]],
  "species": ["C", "Zn", "Sn", "Sn", "Sn"],
  "fractional_positions": [[0.5000, 0.5000, 0.5000], [0.0000, 0.0000, 0.0000], [0.0000, 0.5000, 0.0000], [0.0000, 0.0000, 0.5000], [0.5000, 0.0000, 0.0000]],
  "m_tot_mub_per_atom": 0.239,
  "crystal_system": "cubic",
  "sg": "Pm-3m",
  "formation_energy_ev_per_atom": 1.62
}



{
  "formula": "ZnSn2C2",
  "functional": "PBE",
  "state": "optimized geometry",
  "lattice": [[-0.7605, -7.6861, 0.5707], [0.4181, -0.6138, -7.7090], [3.3821, -0.3191, 0.2088]],
  "species": ["C", "C", "C", "C", "Zn", "Zn", "Sn", "Sn", "Sn", "Sn"],
  "fractional_positions": [[0.0588, 0.5588, 0.5000], [0.5588, 0.9412, 0.5000], [0.9412, 0.4412, 0.5000], [0.4412, 0.0588, 0.5000], [0.0000, 0.0000, 0.0000], [0.5000, 0.5000, 0.0000], [0.1966, 0.6966, 0.0000], [0.6966, 0.8034, 0.0000], [0.8034, 0.3034, 0.0000], [0.3034, 0.1966, 0.0000]],
  "m_tot_mub_per_atom": 0.000,
  "crystal_system": "tetragonal",
  "sg": "P4/mbm",
  "formation_energy_ev_per_atom": 0.76
}



{
  "formula": "ZnSn3C",
  "functional": "PBE",
  "state": "optimized geometry",
  "lattice": [[-0.5843, -4.3089, 1.9747], [3.7969, -1.6165, -2.4038], [2.8372, 1.2759, 3.6235]],
  "species": ["C", "Zn", "Sn", "Sn", "Sn"],
  "fractional_positions": [[0.0000, 0.0000, 0.0000], [0.5000, 0.5000, 0.5000], [0.0000, 0.5000, 0.0000], [0.0000, 0.0000, 0.5000], [0.5000, 0.0000, 0.0000]],
  "m_tot_mub_per_atom": 0.000,
  "crystal_system": "cubic",
  "sg": "Pm-3m",
  "formation_energy_ev_per_atom": 0.87
}



{
  "formula": "ZnSn2C",
  "functional": "PBE",
  "state": "optimized geometry",
  "lattice": [[-1.3981, -3.6123, 2.7285], [-4.4583, -0.1779, 1.5937], [-3.0011, -3.2406, -1.7145]],
  "species": ["C", "Zn", "Sn", "Sn"],
  "fractional_positions": [[0.0000, 0.0000, 0.0000], [0.5000, 0.5000, 0.5000], [0.2500, 0.2500, 0.2500], [0.7500, 0.7500, 0.7500]],
  "m_tot_mub_per_atom": 0.000,
  "crystal_system": "cubic",
  "sg": "Fm-3m",
  "formation_energy_ev_per_atom": 1.23
}



{
  "formula": "ZnSnC3",
  "functional": "PBE",
  "state": "optimized geometry",
  "lattice": [[-1.5932, 3.9141, 0.8532], [-3.9515, -1.3844, -1.0276], [-0.6590, -1.1617, 4.0991]],
  "species": ["C", "C", "C", "Zn", "Sn"],
  "fractional_positions": [[0.0000, 0.5000, 0.0000], [0.0000, 0.0000, 0.5000], [0.5000, 0.0000, 0.0000], [0.5000, 0.5000, 0.5000], [0.0000, 0.0000, 0.0000]],
  "m_tot_mub_per_atom": 0.000,
  "crystal_system": "cubic",
  "sg": "Pm-3m",
  "formation_energy_ev_per_atom": 2.98
}



{
  "formula": "Zr4Sn2C",
  "functional": "PBE",
  "state": "optimized geometry",
  "lattice": [[-4.1415, 1.3473, 0.8921], [-1.4811, -4.1464, -0.6136], [-1.7050, -2.8870, 7.5209]],
  "species": ["C", "Sn", "Sn", "Zr", "Zr", "Zr", "Zr"],
  "fractional_positions": [[0.0000, 0.0000, 0.0000], [0.3541, 0.3541, 0.2919], [0.6459, 0.6459, 0.7081], [0.1557, 0.1557, 0.6886], [0.8443, 0.8443, 0.3114], [0.0000, 0.5000, 0.0000], [0.5000, 0.0000, 0.0000]],
  "m_tot_mub_per_atom": 0.000,
  "crystal_system": "tetragonal",
  "sg": "I4/mmm",
  "formation_energy_ev_per_atom": -0.55
}



{
  "formula": "ZrSnC2",
  "functional": "PBE",
  "state": "optimized geometry",
  "lattice": [[5.1360, 0.0000, 0.0000], [0.0000, 5.1360, 0.0000], [2.5680, 2.5680, 5.0666]],
  "species": ["C", "C", "C", "C", "Sn", "Sn", "Zr", "Zr"],
  "fractional_positions": [[0.6236, 0.1250, 0.2500], [0.1264, 0.6250, 0.2500], [0.3750, 0.3764, 0.7500], [0.8750, 0.8736, 0.7500], [0.0000, 0.0000, 0.0000], [0.7500, 0.2500, 0.5000], [0.5000, 0.5000, 0.0000], [0.2500, 0.7500, 0.5000]],
  "m_tot_mub_per_atom": 0.000,
  "crystal_system": "tetragonal",
  "sg": "I-42d",
  "formation_energy_ev_per_atom": 0.40
}



{
  "formula": "ZrSnC3",
  "functional": "PBE",
  "state": "optimized geometry",
  "lattice": [[-0.3806, -4.1197, 0.5880], [3.3441, -0.6542, -2.4190], [2.4769, 0.2502, 3.3564]],
  "species": ["C", "C", "C", "Sn", "Zr"],
  "fractional_positions": [[0.0000, 0.5000, 0.0000], [0.0000, 0.0000, 0.5000], [0.5000, 0.0000, 0.0000], [0.0000, 0.0000, 0.0000], [0.5000, 0.5000, 0.5000]],
  "m_tot_mub_per_atom": 0.000,
  "crystal_system": "cubic",
  "sg": "Pm-3m",
  "formation_energy_ev_per_atom": 2.23
}



{
  "formula": "ZrSn3C",
  "functional": "PBE",
  "state": "optimized geometry",
  "lattice": [[-4.5945, -0.8660, 0.7606], [-0.3624, -1.8818, -4.3320], [1.0942, -4.2600, 1.7590]],
  "species": ["C", "Sn", "Sn", "Sn", "Zr"],
  "fractional_positions": [[0.0000, 0.0000, 0.0000], [0.0000, 0.5000, 0.0000], [0.0000, 0.0000, 0.5000], [0.5000, 0.0000, 0.0000], [0.5000, 0.5000, 0.5000]],
  "m_tot_mub_per_atom": 0.000,
  "crystal_system": "cubic",
  "sg": "Pm-3m",
  "formation_energy_ev_per_atom": 0.80
}